[1]
NpGa12Co4 PBE relaxed; calculated formation energy = -75 meV/atom; DFT total energy = -78.957 eV per cell; SG = No. 229; density of states at the Fermi level = 16.9 states/eV/f.u.; mass density = 5.862 Mg/m³
1.0
-4.526 4.526 4.526
4.526 -4.526 4.526
4.526 4.526 -4.526
Np Ga Co
1 12 4
Direct
0.000 0.000 0.000
0.000 0.256 0.744
0.000 0.744 0.256
0.256 0.000 0.744
0.256 0.256 0.513
0.256 0.513 0.256
0.256 0.744 0.000
0.487 0.744 0.744
0.513 0.256 0.256
0.744 0.000 0.256
0.744 0.256 0.000
0.744 0.487 0.744
0.744 0.744 0.487
0.000 0.000 0.500
0.000 0.500 0.000
0.500 0.000 0.000
0.500 0.500 0.500

***

[2]
NpGaCo2 PBE relaxed; calculated formation energy = -152 meV/atom; DFT total energy = -61.572 eV per cell; SG = No. 11; density of states at the Fermi level = 6.3 states/eV/f.u.; mass density = 11.603 Mg/m³
1.0
4.608 0.000 0.000
0.000 4.233 0.000
-1.533 0.000 6.231
Np Ga Co
2 2 4
Direct
0.185 0.250 0.218
0.815 0.750 0.782
0.288 0.250 0.713
0.712 0.750 0.287
0.305 0.750 0.512
0.335 0.750 0.929
0.665 0.250 0.071
0.695 0.250 0.488

***

[3]
NpGa2Co PBE relaxed; calculated formation energy = 169 meV/atom; DFT total energy = -25.425 eV per cell; SG = No. 166; density of states at the Fermi level = 4.0 states/eV/f.u.; mass density = 10.618 Mg/m³
1.0
1.413 0.816 9.839
-1.413 0.816 9.839
0.000 -1.632 9.839
Np Ga Co
1 2 1
Direct
0.000 0.000 0.000
0.103 0.103 0.103
0.897 0.897 0.897
0.500 0.500 0.500

***

[4]
Np4Ga12Co PBE relaxed; calculated formation energy = -236 meV/atom; DFT total energy = -99.202 eV per cell; SG = No. 229; density of states at the Fermi level = 33.8 states/eV/f.u.; mass density = 9.742 Mg/m³
1.0
-4.283 4.283 4.283
4.283 -4.283 4.283
4.283 4.283 -4.283
Np Ga Co
4 12 1
Direct
0.000 0.000 0.500
0.000 0.500 0.000
0.500 0.000 0.000
0.500 0.500 0.500
0.000 0.282 0.282
0.000 0.718 0.718
0.250 0.500 0.750
0.250 0.750 0.500
0.282 0.000 0.282
0.282 0.282 0.000
0.500 0.250 0.750
0.500 0.750 0.250
0.718 0.000 0.718
0.718 0.718 0.000
0.750 0.250 0.500
0.750 0.500 0.250
0.000 0.000 0.000

***

What is the formula in the first record? NpGa12Co4

***

DFT total energy of number 2 (NpGaCo2)? -61.572 eV per cell